The following is a PBE calculation of a geometry-optimized Sr2AgRh structure, from Alexandria via LeMat-Bulk.

Symmetry ... R3m
ΔH_f (0 K) ... -0.7 eV per formula unit
Calculated density ... 4.66 g/cm³

```
4
Lattice="2.300 1.328 7.511 -2.300 1.328 7.511 0.000 -2.655 7.511" Properties=species:S:1:pos:R:3 pbc="T T T"
Sr 0.000 0.000 0.000
Sr 0.000 0.000 3.781
Ag 0.000 0.000 16.918
Rh 0.000 0.000 9.389
```